Ni3IrRh: relaxed, PBE.

**Crystal system**: cubic
**Symmetry**: Pm-3m
**Distance to the lowest polymorph of the same formula**: 1431 meV per atom
**Final energy**: -5.2509 eV per atom

Cell: 4.453 4.453 4.453 Å, 90.00 90.00 90.00°
Fractional positions:
Ni (0.500, 0.000, 0.000)
Ni (0.000, 0.500, 0.000)
Ni (0.000, 0.000, 0.500)
Ir (0.000, 0.000, 0.000)
Rh (0.500, 0.500, 0.500)



SrFe2SiS: relaxed, PBE.

**Crystal system**: tetragonal
**Symmetry**: P4/mmm
**Formation energy without anion corrections**: 2.203 eV/atom
**Final energy**: -3.4283 eV per atom

Cell: 4.856 5.547 4.856 Å, 90.00 90.00 90.00°
Fractional positions:
S (0.500, 0.500, 0.500)
Si (0.000, 0.500, 0.000)
Fe (0.500, 0.000, 0.000)
Fe (0.000, 0.000, 0.500)
Sr (0.000, 0.000, 0.000)